[1]
# GGA-PBE ScCr2In, relaxed
data_ScCr2In
_symmetry_space_group_name_H-M 'P 1'
_symmetry_Int_Tables_number 1
_cell_length_a 4.325
_cell_length_b 4.325
_cell_length_c 3.915
_cell_angle_alpha 90.00
_cell_angle_beta 90.00
_cell_angle_gamma 90.00
loop_
_symmetry_equiv_pos_as_xyz
'x,y,z'
loop_
_atom_site_label
_atom_site_type_symbol
_atom_site_fract_x
_atom_site_fract_y
_atom_site_fract_z
Cr1 Cr 0.000 0.000 0.000
Cr2 Cr 0.500 0.500 0.000
In1 In 0.500 0.000 0.500
Sc1 Sc 0.000 0.500 0.500
# DOS(E_F) in states/eV/atom: 0.991
# Space-group type: P4/mmm (123)


[2]
# GGA-PBE Tb2Nd5Ho5, relaxed
data_Tb2Nd5Ho5
_symmetry_space_group_name_H-M 'P 1'
_symmetry_Int_Tables_number 1
_cell_length_a 5.074
_cell_length_b 8.036
_cell_length_c 10.800
_cell_angle_alpha 72.76
_cell_angle_beta 76.41
_cell_angle_gamma 71.60
loop_
_symmetry_equiv_pos_as_xyz
'x,y,z'
loop_
_atom_site_label
_atom_site_type_symbol
_atom_site_fract_x
_atom_site_fract_y
_atom_site_fract_z
Tb1 Tb 0.917 0.414 0.752
Tb2 Tb 0.083 0.586 0.248
Nd1 Nd 0.835 0.831 0.499
Nd2 Nd 0.250 0.748 0.752
Nd3 Nd 0.750 0.252 0.248
Nd4 Nd 0.165 0.169 0.501
Nd5 Nd 0.000 0.000 0.000
Ho1 Ho 0.500 0.500 0.500
Ho2 Ho 0.333 0.334 0.000
Ho3 Ho 0.418 0.915 0.249
Ho4 Ho 0.582 0.085 0.751
Ho5 Ho 0.667 0.666 0.000
# DOS(E_F) in states/eV/atom: 1.437
# Space-group type: C2/m (12)


[3]
# GGA-PBE CsAl2Mo, relaxed
data_CsAl2Mo
_symmetry_space_group_name_H-M 'P 1'
_symmetry_Int_Tables_number 1
_cell_length_a 5.786
_cell_length_b 5.786
_cell_length_c 9.562
_cell_angle_alpha 72.39
_cell_angle_beta 72.39
_cell_angle_gamma 90.00
loop_
_symmetry_equiv_pos_as_xyz
'x,y,z'
loop_
_atom_site_label
_atom_site_type_symbol
_atom_site_fract_x
_atom_site_fract_y
_atom_site_fract_z
Cs1 Cs 0.000 0.000 0.000
Cs2 Cs 0.750 0.250 0.500
Mo1 Mo 0.500 0.500 0.000
Mo2 Mo 0.250 0.750 0.500
Al1 Al 0.375 0.125 0.250
Al2 Al 0.375 0.625 0.250
Al3 Al 0.375 0.625 0.750
Al4 Al 0.875 0.625 0.750
# DOS(E_F) in states/eV/atom: 0.582
# Space-group type: I4_1/amd (141)


[4]
# GGA-PBE NaB3W, relaxed
data_NaB3W
_symmetry_space_group_name_H-M 'P 1'
_symmetry_Int_Tables_number 1
_cell_length_a 3.910
_cell_length_b 3.910
_cell_length_c 3.910
_cell_angle_alpha 90.00
_cell_angle_beta 90.00
_cell_angle_gamma 90.00
loop_
_symmetry_equiv_pos_as_xyz
'x,y,z'
loop_
_atom_site_label
_atom_site_type_symbol
_atom_site_fract_x
_atom_site_fract_y
_atom_site_fract_z
Na1 Na 0.000 0.000 0.000
B1 B 0.000 0.500 0.000
B2 B 0.000 0.000 0.500
B3 B 0.500 0.000 0.000
W1 W 0.500 0.500 0.500
# DOS(E_F) in states/eV/atom: 0.794
# Space-group type: Pm-3m (221)


[5]
# GGA-PBE NaGe3Os, relaxed
data_NaGe3Os
_symmetry_space_group_name_H-M 'P 1'
_symmetry_Int_Tables_number 1
_cell_length_a 4.880
_cell_length_b 4.880
_cell_length_c 4.880
_cell_angle_alpha 90.00
_cell_angle_beta 90.00
_cell_angle_gamma 90.00
loop_
_symmetry_equiv_pos_as_xyz
'x,y,z'
loop_
_atom_site_label
_atom_site_type_symbol
_atom_site_fract_x
_atom_site_fract_y
_atom_site_fract_z
Na1 Na 0.500 0.500 0.500
Ge1 Ge 0.000 0.500 0.000
Ge2 Ge 0.000 0.000 0.500
Ge3 Ge 0.500 0.000 0.000
Os1 Os 0.000 0.000 0.000
# DOS(E_F) in states/eV/atom: 1.037
# Space-group type: Pm-3m (221)


[6]
# GGA-PBE RbAgIO6, relaxed
data_RbAgIO6
_symmetry_space_group_name_H-M 'P 1'
_symmetry_Int_Tables_number 1
_cell_length_a 5.500
_cell_length_b 5.401
_cell_length_c 6.347
_cell_angle_alpha 89.60
_cell_angle_beta 89.23
_cell_angle_gamma 59.40
loop_
_symmetry_equiv_pos_as_xyz
'x,y,z'
loop_
_atom_site_label
_atom_site_type_symbol
_atom_site_fract_x
_atom_site_fract_y
_atom_site_fract_z
Rb1 Rb 0.992 0.016 0.000
Ag1 Ag 0.663 0.673 0.500
I1 I 0.330 0.339 0.500
O1 O 0.027 0.362 0.336
O2 O 0.371 0.026 0.674
O3 O 0.610 0.362 0.664
O4 O 0.048 0.597 0.687
O5 O 0.355 0.597 0.313
O6 O 0.603 0.026 0.326
# DOS(E_F) in states/eV/atom: 0.128
# Uncorrected formation energy in eV per atom: -0.4025
# Space-group type: C2 (5)


[7]
# GGA-PBE MnFe2Ag, relaxed
data_MnFe2Ag
_symmetry_space_group_name_H-M 'P 1'
_symmetry_Int_Tables_number 1
_cell_length_a 4.028
_cell_length_b 2.649
_cell_length_c 5.445
_cell_angle_alpha 74.21
_cell_angle_beta 90.00
_cell_angle_gamma 90.00
loop_
_symmetry_equiv_pos_as_xyz
'x,y,z'
loop_
_atom_site_label
_atom_site_type_symbol
_atom_site_fract_x
_atom_site_fract_y
_atom_site_fract_z
Ag1 Ag 0.500 0.771 0.752
Fe1 Fe 0.000 0.059 0.032
Fe2 Fe 0.500 0.213 0.242
Mn1 Mn 0.000 0.457 0.474
# DOS(E_F) in states/eV/atom: 0.685
# Space-group type: Pm (6)


[8]
# GGA-PBE HfTa4Nb, relaxed
data_HfTa4Nb
_symmetry_space_group_name_H-M 'P 1'
_symmetry_Int_Tables_number 1
_cell_length_a 4.735
_cell_length_b 4.737
_cell_length_c 7.497
_cell_angle_alpha 108.42
_cell_angle_beta 108.41
_cell_angle_gamma 119.98
loop_
_symmetry_equiv_pos_as_xyz
'x,y,z'
loop_
_atom_site_label
_atom_site_type_symbol
_atom_site_fract_x
_atom_site_fract_y
_atom_site_fract_z
Hf1 Hf 0.500 0.000 0.500
Ta1 Ta 0.337 0.504 0.671
Ta2 Ta 0.663 0.496 0.329
Ta3 Ta 0.164 0.997 0.830
Ta4 Ta 0.836 0.003 0.170
Nb1 Nb 0.000 0.500 0.000
# DOS(E_F) in states/eV/atom: 1.623
# Space-group type: P-3m1 (164)


[9]
# GGA-PBE Na4Sc3SnTe8, relaxed
data_Na4Sc3SnTe8
_symmetry_space_group_name_H-M 'P 1'
_symmetry_Int_Tables_number 1
_cell_length_a 8.593
_cell_length_b 9.011
_cell_length_c 8.592
_cell_angle_alpha 118.50
_cell_angle_beta 120.00
_cell_angle_gamma 90.00
loop_
_symmetry_equiv_pos_as_xyz
'x,y,z'
loop_
_atom_site_label
_atom_site_type_symbol
_atom_site_fract_x
_atom_site_fract_y
_atom_site_fract_z
Na1 Na 0.500 0.000 0.000
Na2 Na 0.500 0.000 0.500
Na3 Na 0.000 0.000 0.000
Na4 Na 0.000 0.000 0.500
Sc1 Sc 0.500 0.500 0.000
Sc2 Sc 0.500 0.500 0.500
Sc3 Sc 0.000 0.500 0.500
Sn1 Sn 0.000 0.500 0.000
Te1 Te 0.245 0.721 0.976
Te2 Te 0.245 0.721 0.490
Te3 Te 0.260 0.280 0.520
Te4 Te 0.731 0.721 0.976
Te5 Te 0.269 0.279 0.024
Te6 Te 0.740 0.720 0.480
Te7 Te 0.755 0.279 0.510
Te8 Te 0.755 0.279 0.024
# DOS(E_F) in states/eV/atom: 0.102
# Uncorrected formation energy in eV per atom: -1.0084
# Space-group type: R-3m (166)


[10]
# GGA-PBE Na2NiS, relaxed
data_Na2NiS
_symmetry_space_group_name_H-M 'P 1'
_symmetry_Int_Tables_number 1
_cell_length_a 3.885
_cell_length_b 3.885
_cell_length_c 9.942
_cell_angle_alpha 78.73
_cell_angle_beta 78.73
_cell_angle_gamma 90.00
loop_
_symmetry_equiv_pos_as_xyz
'x,y,z'
loop_
_atom_site_label
_atom_site_type_symbol
_atom_site_fract_x
_atom_site_fract_y
_atom_site_fract_z
Ni1 Ni 0.000 0.000 0.000
Ni2 Ni 0.750 0.250 0.500
S1 S 0.500 0.500 0.000
S2 S 0.250 0.750 0.500
Na1 Na 0.614 0.125 0.250
Na2 Na 0.136 0.625 0.250
Na3 Na 0.375 0.386 0.750
Na4 Na 0.875 0.864 0.750
# DOS(E_F) in states/eV/atom: 0.318
# Uncorrected formation energy in eV per atom: 0.1699
# Space-group type: I-42d (122)


[11]
# GGA-PBE Ac3GaAu4, relaxed
data_Ac3GaAu4
_symmetry_space_group_name_H-M 'P 1'
_symmetry_Int_Tables_number 1
_cell_length_a 4.489
_cell_length_b 7.273
_cell_length_c 8.488
_cell_angle_alpha 115.37
_cell_angle_beta 105.33
_cell_angle_gamma 90.00
loop_
_symmetry_equiv_pos_as_xyz
'x,y,z'
loop_
_atom_site_label
_atom_site_type_symbol
_atom_site_fract_x
_atom_site_fract_y
_atom_site_fract_z
Ac1 Ac 0.186 0.186 0.371
Ac2 Ac 0.814 0.814 0.629
Ac3 Ac 0.000 0.500 0.000
Ga1 Ga 0.500 0.000 0.000
Au1 Au 0.379 0.587 0.758
Au2 Au 0.621 0.413 0.242
Au3 Au 0.621 0.829 0.242
Au4 Au 0.379 0.171 0.758
# DOS(E_F) in states/eV/atom: 0.798
# Space-group type: Immm (71)


[12]
# GGA-PBE CdTeMo, relaxed
data_CdTeMo
_symmetry_space_group_name_H-M 'P 1'
_symmetry_Int_Tables_number 1
_cell_length_a 4.609
_cell_length_b 4.609
_cell_length_c 4.609
_cell_angle_alpha 60.00
_cell_angle_beta 60.00
_cell_angle_gamma 60.00
loop_
_symmetry_equiv_pos_as_xyz
'x,y,z'
loop_
_atom_site_label
_atom_site_type_symbol
_atom_site_fract_x
_atom_site_fract_y
_atom_site_fract_z
Cd1 Cd 0.500 0.500 0.500
Mo1 Mo 0.750 0.750 0.750
Te1 Te 0.000 0.000 0.000
# DOS(E_F) in states/eV/atom: 0.524
# Uncorrected formation energy in eV per atom: 0.5803
# Space-group type: F-43m (216)


| no. | E (eV for the cell shown) | calculated density (g/cm3) |
| --- | --- | --- |
| 1 | -27.2 | 5.98 |
| 2 | -55.8 | 7.85 |
| 3 | -30.9 | 3.25 |
| 4 | -19.5 | 6.65 |
| 5 | -24.7 | 6.16 |
| 6 | -38.7 | 4.26 |
| 7 | -27.5 | 8.15 |
| 8 | -67.1 | 14.64 |
| 9 | -69.5 | 4.72 |
| 10 | -23.7 | 3.15 |
| 11 | -34.0 | 10.67 |
| 12 | -13.1 | 8.06 |